# 1
ScTlCuOs (PBE, optimized geometry); total energy = -89.8 eV for the cell shown; relative energy among the computed polymorphs = 118.5 meV per atom
1.0
6.519 0.000 0.000
0.000 6.519 0.000
0.000 0.000 6.519
Sc Tl Cu Os
4 4 4 4
Cartesian
0.000 0.000 0.000
0.000 3.259 3.259
3.259 0.000 3.259
3.259 3.259 0.000
1.630 1.630 1.630
1.630 4.889 4.889
4.889 1.630 4.889
4.889 4.889 1.630
0.000 0.000 3.259
0.000 3.259 0.000
3.259 0.000 0.000
3.259 3.259 3.259
1.630 1.630 4.889
1.630 4.889 1.630
4.889 1.630 1.630
4.889 4.889 4.889


# 2
Pu2Ni17 (PBE, optimized geometry); total energy = -249.8 eV for the cell shown; energy of formation from the pure elements = -190 kJ/mol of formula units
1.0
8.274 0.000 0.000
-4.137 7.166 0.000
0.000 0.000 7.993
Pu Ni
4 34
Cartesian
0.000 0.000 1.998
0.000 0.000 5.994
0.000 4.777 1.998
4.137 2.389 5.994
-2.069 3.583 0.000
-2.069 3.583 3.996
-1.170 2.656 5.994
-2.422 4.825 5.994
0.000 2.354 0.175
0.000 2.354 3.821
-2.098 5.989 0.175
-2.098 5.989 3.821
1.170 2.656 5.994
-1.252 6.851 5.994
2.039 1.177 4.172
2.039 1.177 7.817
0.000 4.777 4.809
0.000 4.777 7.180
2.885 0.315 1.998
1.715 2.341 1.998
4.137 0.000 0.000
4.137 0.000 3.996
2.069 3.583 0.000
2.069 3.583 3.996
2.422 4.825 5.994
1.252 6.851 5.994
4.137 2.389 0.813
4.137 2.389 3.183
2.098 5.989 0.175
2.098 5.989 3.821
5.389 0.315 1.998
2.967 4.510 1.998
6.235 1.177 4.172
6.235 1.177 7.817
4.137 4.811 4.172
4.137 4.811 7.817
6.559 2.341 1.998
5.307 4.510 1.998


# 3
CsCuTe2PtSe (PBE, optimized geometry); total energy = -45.7 eV for the cell shown
1.0
2.035 -8.053 0.000
2.035 8.053 0.000
0.000 0.000 10.943
Cs Cu Te Pt Se
2 2 4 2 2
Cartesian
2.035 4.109 8.207
2.035 -4.109 2.736
2.035 7.478 2.736
2.035 -7.478 8.207
2.035 6.333 0.398
2.035 6.333 5.074
2.035 -6.333 5.869
2.035 -6.333 10.545
2.035 0.000 0.000
2.035 0.000 5.471
2.035 0.724 2.736
2.035 -0.724 8.207


# 4
RbNaPrO3 (PBE, optimized geometry); total energy = -66.2 eV for the cell shown
1.0
3.037 -6.130 0.000
3.037 6.130 0.000
-1.263 0.000 6.026
Rb Na Pr O
2 2 2 6
Cartesian
2.089 3.147 4.519
2.721 -3.147 1.506
2.721 5.369 1.506
2.089 -5.369 4.519
2.721 0.861 1.506
2.089 -0.861 4.519
0.972 0.469 3.022
2.721 3.103 1.506
1.604 -0.469 0.009
3.206 0.469 6.017
2.089 -3.103 4.519
3.838 -0.469 3.004